[1]
# LiTeCl3

A relaxed structure of LiTeCl3 (PBE-GGA, Alexandria).

Values from the calculation:
Relative energy among the computed polymorphs, meV/atom: 0
Formation energy (no corrections), eV per atom: -0.5511

Unit cell a=5.525 b=5.525 c=5.525 alpha=90.00 beta=90.00 gamma=90.00
Space group Pm-3m (No. 221)
Unique sites:
Li: 0.000 0.000 0.000 x1
Te: 0.500 0.500 0.500 x1
Cl: 0.000 0.500 0.500 x3

***

[2]
# Li3TeCl

A relaxed structure of Li3TeCl (PBE-GGA, Alexandria).

Values from the calculation:
Relative energy among the computed polymorphs, meV/atom: 198
Formation energy (no corrections), eV per atom: -1.0138

Unit cell a=5.185 b=5.185 c=5.185 alpha=90.00 beta=90.00 gamma=90.00
Space group Pm-3m (No. 221)
Unique sites:
Li: 0.000 0.000 0.500 x3
Te: 0.000 0.000 0.000 x1
Cl: 0.500 0.500 0.500 x1

***

[3]
# LiTeCl

A relaxed structure of LiTeCl (PBE-GGA, Alexandria).

Values from the calculation:
Relative energy among the computed polymorphs, meV/atom: 714
Formation energy (no corrections), eV per atom: -0.2847

Unit cell a=6.711 b=6.711 c=6.711 alpha=90.00 beta=90.00 gamma=90.00
Space group F-43m (No. 216)
Unique sites:
Li: 0.000 0.000 0.000 x4
Te: 0.250 0.250 0.750 x4
Cl: 0.250 0.250 0.250 x4